VASP calculation (PBE-GGA) on crystalline HoNiP2Ru at its relaxed geometry.

abc: 5.609 5.609 5.609
angles: 139.39 139.39 58.79
Positions (direct):
1 Ho 0.000 0.000 0.000
2 Ni 0.750 0.250 0.500
3 P 0.383 0.383 0.000
4 P 0.617 0.617 0.000
5 Ru 0.250 0.750 0.500

Computed properties:
- Total DFT energy (no corrections): -35.1 eV per cell
- Magnetization: 0.00 μB/f.u.
- DFT formation energy: -0.94 eV per atom


VASP calculation (PBE-GGA) on crystalline Ho2Ni4P3Ru at its relaxed geometry.

abc: 3.811 3.811 9.950
angles: 90.00 90.00 90.00
Positions (direct):
1 Ho 0.000 0.500 0.243
2 Ho 0.500 0.000 0.757
3 Ni 0.000 0.000 0.000
4 Ni 0.000 0.500 0.652
5 Ni 0.500 0.000 0.348
6 Ni 0.500 0.500 0.000
7 P 0.000 0.500 0.872
8 P 0.500 0.000 0.128
9 P 0.500 0.500 0.500
10 Ru 0.000 0.000 0.500

Computed properties:
- Total DFT energy (no corrections): -65.6 eV per cell
- Magnetization: 0.00 μB/f.u.
- DFT formation energy: -0.78 eV per atom


VASP calculation (PBE-GGA) on crystalline Ho3SiNi9P2 at its relaxed geometry.

abc: 5.821 5.821 7.943
angles: 90.00 90.00 120.00
Positions (direct):
1 Ho 0.000 0.000 0.000
2 Ho 0.333 0.667 0.644
3 Ho 0.667 0.333 0.356
4 Si 0.000 0.000 0.500
5 Ni 0.000 0.500 0.000
6 Ni 0.145 0.291 0.287
7 Ni 0.145 0.855 0.287
8 Ni 0.291 0.145 0.713
9 Ni 0.500 0.000 0.000
10 Ni 0.500 0.500 0.000
11 Ni 0.709 0.855 0.287
12 Ni 0.855 0.145 0.713
13 Ni 0.855 0.709 0.713
14 P 0.333 0.667 0.175
15 P 0.667 0.333 0.825

Computed properties:
- Total DFT energy (no corrections): -89.4 eV per cell
- Magnetization: 0.00 μB/f.u.
- Raw formation energy: -0.490 eV per atom


VASP calculation (PBE-GGA) on crystalline SmHoNi2P2 at its relaxed geometry.

abc: 3.905 3.905 7.858
angles: 90.00 90.00 120.00
Positions (direct):
1 Sm 0.000 0.000 0.000
2 Ho 0.000 0.000 0.500
3 Ni 0.333 0.667 0.744
4 Ni 0.667 0.333 0.256
5 P 0.333 0.667 0.257
6 P 0.667 0.333 0.743

Computed properties:
- Total DFT energy (no corrections): -38.9 eV per cell
- Magnetization: 0.00 μB/f.u.
- DFT formation energy: -1.21 eV per atom